Version a
DFT (PBE) results for a relaxed structure of SrMgBr.

a b c (Å): 4.182 4.182 7.433
angles (deg): 90.00 90.00 120.00
Positions (direct):
Br1 0.000 0.000 0.960
Mg1 0.667 0.333 0.345
Sr1 0.333 0.667 0.695

Properties
Density of states at the Fermi level in states/eV/cell: 2.38
SG: P3m1, No. 156



Version b
DFT (PBE) results for a relaxed structure of SrMgBr.

a b c (Å): 5.366 5.366 5.366
angles (deg): 60.00 60.00 60.00
Positions (direct):
Br1 0.750 0.750 0.750
Mg1 0.000 0.000 0.000
Sr1 0.500 0.500 0.500

Properties
Density of states at the Fermi level in states/eV/cell: 2.26
SG: F-43m, No. 216



Which of them is the least stable? Correct choice: version b.



Version a
DFT (PBE) results for a relaxed structure of SrMg2Br6.

a b c (Å): 6.670 6.959 6.959
angles (deg): 120.00 90.00 90.00
Positions (direct):
Sr1 0.000 0.000 0.000
Mg1 0.500 0.667 0.333
Mg2 0.500 0.333 0.667
Br1 0.729 0.638 0.638
Br2 0.271 0.638 0.000
Br3 0.271 0.000 0.638
Br4 0.729 0.362 0.000
Br5 0.271 0.362 0.362
Br6 0.729 0.000 0.362

Properties
Density of states at the Fermi level in states/eV/cell: 0.00
SG: P-31m, No. 162



Version b
DFT (PBE) results for a relaxed structure of SrMg2Br6.

a b c (Å): 4.559 7.422 10.181
angles (deg): 94.96 90.00 107.89
Positions (direct):
Sr1 0.000 0.000 0.500
Mg1 0.745 0.490 0.820
Mg2 0.255 0.510 0.180
Br1 0.911 0.822 0.760
Br2 0.823 0.645 0.102
Br3 0.177 0.355 0.898
Br4 0.640 0.279 0.593
Br5 0.360 0.721 0.407
Br6 0.089 0.178 0.240

Properties
Density of states at the Fermi level in states/eV/cell: 0.00
SG: C2/m, No. 12



Which of them is the least stable? Correct choice: version b.



Version a
DFT (PBE) results for a relaxed structure of SrMgBr3.

a b c (Å): 5.421 5.421 5.421
angles (deg): 90.00 90.00 90.00
Positions (direct):
Sr1 0.500 0.500 0.500
Mg1 0.000 0.000 0.000
Br1 0.000 0.500 0.000
Br2 0.000 0.000 0.500
Br3 0.500 0.000 0.000

Properties
Density of states at the Fermi level in states/eV/cell: 2.57
SG: Pm-3m, No. 221



Version b
DFT (PBE) results for a relaxed structure of SrMgBr3.

a b c (Å): 5.942 5.942 5.942
angles (deg): 90.00 90.00 90.00
Site moments in Bohr magnetons follow the coordinates.
Positions (direct):
Sr1 0.000 0.000 0.000  0.00
Mg1 0.500 0.500 0.500  0.21
Br1 0.000 0.500 0.000  0.04
Br2 0.000 0.000 0.500  0.03
Br3 0.500 0.000 0.000  0.02

Properties
Density of states at the Fermi level in states/eV/cell: 0.00
SG: Pm-3m, No. 221



Which of them is the least stable? Correct choice: version b.



Version a
DFT (PBE) results for a relaxed structure of Mg2TaBr.

a b c (Å): 9.159 9.159 9.159
angles (deg): 20.56 20.56 20.56
Positions (direct):
Br1 0.750 0.750 0.750
Mg1 0.003 0.003 0.003
Mg2 0.497 0.497 0.497
Ta1 0.250 0.250 0.250

Properties
Density of states at the Fermi level in states/eV/cell: 2.25
SG: R-3m, No. 166



Version b
DFT (PBE) results for a relaxed structure of Mg2TaBr.

a b c (Å): 3.126 5.244 5.244
angles (deg): 90.00 90.00 90.00
Positions (direct):
Br1 0.500 0.000 0.500
Mg1 0.000 0.000 0.000
Mg2 0.000 0.500 0.500
Ta1 0.500 0.500 0.000

Properties
Density of states at the Fermi level in states/eV/cell: 3.45
SG: P4/mmm, No. 123



Which of them is the least stable? Correct choice: version b.



Version a
DFT (PBE) results for a relaxed structure of MgTa2Br.

a b c (Å): 3.913 3.913 11.226
angles (deg): 79.96 79.96 90.00
Positions (direct):
Mg1 0.500 0.500 0.000
Mg2 0.250 0.750 0.500
Br1 0.000 0.000 0.000
Br2 0.750 0.250 0.500
Ta1 0.615 0.125 0.250
Ta2 0.135 0.625 0.250
Ta3 0.375 0.385 0.750
Ta4 0.875 0.865 0.750

Properties
Density of states at the Fermi level in states/eV/cell: 5.45
SG: I-42d, No. 122



Version b
DFT (PBE) results for a relaxed structure of MgTa2Br.

a b c (Å): 3.191 4.724 5.246
angles (deg): 90.00 90.00 90.00
Positions (direct):
Br1 0.500 0.000 0.500
Mg1 0.000 0.500 0.500
Ta1 0.000 0.000 0.000
Ta2 0.500 0.500 0.000

Properties
Density of states at the Fermi level in states/eV/cell: 4.09
SG: Pmmm, No. 47



Which of them is the least stable? Correct choice: version a.



Version a
DFT (PBE) results for a relaxed structure of MgTa2Br.

a b c (Å): 4.999 4.999 3.004
angles (deg): 90.00 90.00 90.00
Positions (direct):
Br1 0.500 0.000 0.500
Mg1 0.000 0.500 0.500
Ta1 0.000 0.000 0.000
Ta2 0.500 0.500 0.000

Properties
Density of states at the Fermi level in states/eV/cell: 2.78
SG: P4/mmm, No. 123



Version b
DFT (PBE) results for a relaxed structure of MgTa2Br.

a b c (Å): 5.281 5.281 5.532
angles (deg): 70.82 70.82 33.39
Positions (direct):
Br1 0.472 0.472 0.408
Mg1 0.226 0.226 0.316
Ta1 0.024 0.024 0.965
Ta2 0.778 0.778 0.811

Properties
Density of states at the Fermi level in states/eV/cell: 3.81
SG: Cm, No. 8



Which of them is the least stable? Correct choice: version a.



Version a
DFT (PBE) results for a relaxed structure of MgTa2Br.

a b c (Å): 4.787 4.787 4.787
angles (deg): 60.00 60.00 60.00
Site moments in Bohr magnetons follow the coordinates.
Positions (direct):
Br1 0.500 0.500 0.500  0.01
Mg1 0.750 0.750 0.750  0.00
Ta1 0.000 0.000 0.000  0.07
Ta2 0.250 0.250 0.250  0.25

Properties
Density of states at the Fermi level in states/eV/cell: 6.24
SG: F-43m, No. 216



Version b
DFT (PBE) results for a relaxed structure of MgTa2Br.

a b c (Å): 4.735 4.735 4.735
angles (deg): 60.00 60.00 60.00
Positions (direct):
Mg1 0.000 0.000 0.000
Br1 0.500 0.500 0.500
Ta1 0.250 0.250 0.250
Ta2 0.750 0.750 0.750

Properties
Density of states at the Fermi level in states/eV/cell: 6.74
SG: Fm-3m, No. 225



Which of them is the least stable? Correct choice: version b.



Version a
DFT (PBE) results for a relaxed structure of MgTa2Br.

a b c (Å): 3.092 3.092 9.247
angles (deg): 90.00 90.00 110.07
Positions (direct):
Br1 0.000 0.000 0.475
Mg1 0.500 0.500 0.768
Ta1 0.000 0.000 0.018
Ta2 0.500 0.500 0.239

Properties
Density of states at the Fermi level in states/eV/cell: 1.97
SG: Cmm2, No. 35



Version b
DFT (PBE) results for a relaxed structure of MgTa2Br.

a b c (Å): 5.170 3.953 3.953
angles (deg): 90.00 90.00 90.00
Positions (direct):
Br1 0.500 0.500 0.000
Mg1 0.500 0.000 0.500
Ta1 0.000 0.000 0.000
Ta2 0.000 0.500 0.500

Properties
Density of states at the Fermi level in states/eV/cell: 3.93
SG: P4/mmm, No. 123



Which of them is the least stable? Correct choice: version b.